This record from Alexandria via LeMat-Bulk describes a relaxed LiPd3Br crystal. The functional is PBE.

- E above lowest polymorph: 0 meV per atom
- ΔE_f (raw): 268.3 meV/atom
- Crystal system: cubic
- Size of the total moment: 0.0 μB per cell

POSCAR file:
```
LiPd3Br
1.0
-4.556 -0.910 1.128
0.229 -4.127 -2.403
1.431 -2.236 3.976
Br Pd Li
1 3 1
Direct
0.000 0.000 0.000
0.000 0.500 0.000
0.000 0.000 0.500
0.500 0.000 0.000
0.500 0.500 0.500
```